CaLa2: relaxed, PBEsol.

Calculated values
As for the excess energy over the best structure of this formula in the dataset: 0.038 eV per atom. The value obtained for the energy relative to the elements is 0.075 eV/atom. As for the density of states at the Fermi level: 8.61 states/eV per cell.

Cell lengths 3.5926, 5.1481, 11.4656 Å; angles 90.00, 90.00, 90.00 degrees
With the nearest neighbours (Å) after each atom.
Sites, in units of the cell vectors:
Ca  0.0000  0.0000  0.0000  2 Ca 3.59, 10 La 3.61-3.79
Ca  0.5000  0.5000  0.5000  2 Ca 3.59, 10 La 3.61-3.79
La  0.0000  0.0000  0.3148  6 La 3.47-3.59, 5 Ca 3.61-3.79
La  0.0000  0.0000  0.6852  6 La 3.47-3.59, 5 Ca 3.61-3.79
La  0.5000  0.5000  0.1852  6 La 3.47-3.59, 5 Ca 3.61-3.79
La  0.5000  0.5000  0.8148  6 La 3.47-3.59, 5 Ca 3.61-3.79

Ca3La: relaxed, PBEsol.

Calculated values
As for the excess energy over the best structure of this formula in the dataset: 0.043 eV per atom. The value obtained for the energy relative to the elements is 0.090 eV/atom. As for the density of states at the Fermi level: 13.31 states/eV per cell.

Cell lengths 12.6328, 3.7068, 6.6818 Å; angles 90.00, 98.38, 90.00 degrees
With the nearest neighbours (Å) after each atom.
Sites, in units of the cell vectors:
Ca  0.0000  0.0000  0.0000  8 Ca 3.71-3.86, 4 La 3.82
Ca  0.2477  0.0000  0.7468  9 Ca 3.71-3.86, 3 La 3.80
Ca  0.2523  0.5000  0.2532  9 Ca 3.71-3.86, 3 La 3.80
Ca  0.5000  0.5000  0.0000  8 Ca 3.71-3.86, 4 La 3.82
Ca  0.7477  0.5000  0.7468  9 Ca 3.71-3.86, 3 La 3.80
Ca  0.7523  0.0000  0.2532  9 Ca 3.71-3.86, 3 La 3.80
La  0.0000  0.5000  0.5000  2 La 3.71, 10 Ca 3.80-3.82
La  0.5000  0.0000  0.5000  2 La 3.71, 10 Ca 3.80-3.82

CaLa: relaxed, PBEsol.

Calculated values
As for the excess energy over the best structure of this formula in the dataset: 0.083 eV per atom. The value obtained for the energy relative to the elements is 0.114 eV/atom. As for the density of states at the Fermi level: 11.77 states/eV per cell.

Cell lengths 4.0616, 6.1019, 11.9908 Å; angles 90.00, 90.00, 90.00 degrees
With the nearest neighbours (Å) after each atom.
Sites, in units of the cell vectors:
Ca  0.0000  0.2500  0.1272  2 Ca 3.58, 6 La 3.67
Ca  0.0000  0.7500  0.8728  2 Ca 3.58, 6 La 3.67
Ca  0.5000  0.2500  0.3728  2 Ca 3.58, 6 La 3.67
Ca  0.5000  0.7500  0.6272  2 Ca 3.58, 6 La 3.67
La  0.0000  0.2500  0.6282  2 La 3.56, 6 Ca 3.67
La  0.0000  0.7500  0.3718  2 La 3.56, 6 Ca 3.67
La  0.5000  0.2500  0.8718  2 La 3.56, 6 Ca 3.67
La  0.5000  0.7500  0.1282  2 La 3.56, 6 Ca 3.67

CaLa: relaxed, PBEsol.

Calculated values
As for the excess energy over the best structure of this formula in the dataset: 0.105 eV per atom. The value obtained for the energy relative to the elements is 0.136 eV/atom. As for the density of states at the Fermi level: 17.67 states/eV per cell.

Cell lengths 8.4264, 8.4264, 8.4264 Å; angles 90.00, 90.00, 90.00 degrees
With the nearest neighbours (Å) after each atom.
Sites, in units of the cell vectors:
Ca  0.1250  0.1250  0.1250  4 La 3.65, 4 Ca 3.65
Ca  0.1250  0.6250  0.6250  4 La 3.65, 4 Ca 3.65
Ca  0.3750  0.3750  0.8750  4 Ca 3.65, 4 La 3.65
Ca  0.3750  0.8750  0.3750  4 Ca 3.65, 4 La 3.65
Ca  0.6250  0.1250  0.6250  4 La 3.65, 4 Ca 3.65
Ca  0.6250  0.6250  0.1250  4 La 3.65, 4 Ca 3.65
Ca  0.8750  0.3750  0.3750  4 Ca 3.65, 4 La 3.65
Ca  0.8750  0.8750  0.8750  4 Ca 3.65, 4 La 3.65
La  0.1250  0.1250  0.6250  4 La 3.65, 4 Ca 3.65
La  0.1250  0.6250  0.1250  4 La 3.65, 4 Ca 3.65
La  0.3750  0.3750  0.3750  4 La 3.65, 4 Ca 3.65
La  0.3750  0.8750  0.8750  4 La 3.65, 4 Ca 3.65
La  0.6250  0.1250  0.1250  4 La 3.65, 4 Ca 3.65
La  0.6250  0.6250  0.6250  4 La 3.65, 4 Ca 3.65
La  0.8750  0.3750  0.8750  4 La 3.65, 4 Ca 3.65
La  0.8750  0.8750  0.3750  4 La 3.65, 4 Ca 3.65